Entry from Alexandria: an optimized crystal structure of TiHgI2 (PBE).

Values from the calculation:
Total moment ... 8.00 μB/cell
Raw formation energy ... -0.2738 eV per atom
Relative energy among the computed polymorphs ... 185 meV/atom
Space-group type ... No. 122
Crystal system ... tetragonal
Calculated total energy ... -0.1138 hartree per atom

abc: 8.586 8.586 9.965
angles: 90.00 90.00 90.00
Element x y z (fractional)
Ti 0.000 0.000 0.000
Ti 0.000 0.500 0.250
Ti 0.500 0.000 0.750
Ti 0.500 0.500 0.500
Hg 0.000 0.000 0.500
Hg 0.000 0.500 0.750
Hg 0.500 0.000 0.250
Hg 0.500 0.500 0.000
I 0.142 0.250 0.125
I 0.250 0.642 0.375
I 0.250 0.858 0.875
I 0.358 0.250 0.625
I 0.642 0.750 0.625
I 0.750 0.142 0.875
I 0.750 0.358 0.375
I 0.858 0.750 0.125

***

Entry from Alexandria: an optimized crystal structure of CuMo2Rh6 (PBE).

Values from the calculation:
Total moment ... 0.00 μB/cell
ΔH_f (0 K) ... 0.081 eV/atom
Space-group type ... No. 71
Crystal system ... orthorhombic
Calculated total energy ... -0.2823 hartree per atom

abc: 7.776 7.776 7.776
angles: 159.82 123.81 60.32
Element x y z (fractional)
Cu 0.000 0.000 0.000
Mo 0.324 0.500 0.824
Mo 0.676 0.500 0.176
Rh 0.007 0.329 0.678
Rh 0.349 0.671 0.678
Rh 0.354 0.854 0.500
Rh 0.646 0.146 0.500
Rh 0.651 0.329 0.322
Rh 0.993 0.671 0.322

***

Entry from Alexandria: an optimized crystal structure of Pm12Sm3Zn (PBE).

Values from the calculation:
Total moment ... 0.00 μB/cell
ΔH_f (0 K) ... 0.016 eV/atom
Space-group type ... No. 123
Crystal system ... tetragonal
Calculated total energy ... -0.1658 hartree per atom

abc: 5.071 5.071 20.457
angles: 90.00 90.00 90.00
Element x y z (fractional)
Pm 0.000 0.000 0.000
Pm 0.000 0.000 0.242
Pm 0.000 0.000 0.500
Pm 0.000 0.000 0.758
Pm 0.000 0.500 0.117
Pm 0.000 0.500 0.372
Pm 0.000 0.500 0.628
Pm 0.000 0.500 0.883
Pm 0.500 0.000 0.117
Pm 0.500 0.000 0.372
Pm 0.500 0.000 0.628
Pm 0.500 0.000 0.883
Sm 0.500 0.500 0.245
Sm 0.500 0.500 0.500
Sm 0.500 0.500 0.755
Zn 0.500 0.500 0.000

***

Entry from Alexandria: an optimized crystal structure of NaCdPd2F (PBE).

Values from the calculation:
Total moment ... 0.00 μB/cell
Raw formation energy ... -0.1189 eV per atom
Space-group type ... No. 123
Crystal system ... tetragonal
Calculated total energy ... -0.1109 hartree per atom

abc: 4.978 4.978 3.873
angles: 90.00 90.00 90.00
Element x y z (fractional)
Na 0.000 0.000 0.000
Cd 0.500 0.500 0.500
Pd 0.000 0.500 0.000
Pd 0.500 0.000 0.000
F 0.000 0.000 0.500

***

Entry from Alexandria: an optimized crystal structure of BaTe2PtI (PBE).

Values from the calculation:
Total moment ... 3.14 μB/cell
Raw formation energy ... 0.8038 eV per atom
Relative energy among the computed polymorphs ... 1495 meV/atom
Space-group type ... No. 123
Crystal system ... tetragonal
Calculated total energy ... -0.0866 hartree per atom

abc: 6.743 6.743 6.500
angles: 90.00 90.00 90.00
Element x y z (fractional)
Ba 0.000 0.000 0.000
Te 0.000 0.500 0.000
Te 0.500 0.000 0.000
Pt 0.500 0.500 0.500
I 0.000 0.000 0.500

***

Entry from Alexandria: an optimized crystal structure of K3Hg2Bi4 (PBE).

Values from the calculation:
Total moment ... 0.00 μB/cell
Relative energy among the computed polymorphs ... 49 meV/atom
ΔH_f (0 K) ... -0.214 eV/atom
Space-group type ... No. 2
Crystal system ... triclinic
Calculated total energy ... -0.0871 hartree per atom

abc: 5.868 7.029 10.055
angles: 102.69 90.53 114.67
Element x y z (fractional)
K 0.000 0.000 0.000
K 0.378 0.760 0.627
K 0.622 0.240 0.373
Hg 0.331 0.670 0.267
Hg 0.669 0.330 0.733
Bi 0.107 0.209 0.667
Bi 0.279 0.557 0.946
Bi 0.721 0.443 0.054
Bi 0.893 0.791 0.333

***

Please write out number 1 again, unchanged.
Entry from Alexandria: an optimized crystal structure of TiHgI2 (PBE).

Values from the calculation:
Total moment ... 8.00 μB/cell
Raw formation energy ... -0.2738 eV per atom
Relative energy among the computed polymorphs ... 185 meV/atom
Space-group type ... No. 122
Crystal system ... tetragonal
Calculated total energy ... -0.1138 hartree per atom

abc: 8.586 8.586 9.965
angles: 90.00 90.00 90.00
Element x y z (fractional)
Ti 0.000 0.000 0.000
Ti 0.000 0.500 0.250
Ti 0.500 0.000 0.750
Ti 0.500 0.500 0.500
Hg 0.000 0.000 0.500
Hg 0.000 0.500 0.750
Hg 0.500 0.000 0.250
Hg 0.500 0.500 0.000
I 0.142 0.250 0.125
I 0.250 0.642 0.375
I 0.250 0.858 0.875
I 0.358 0.250 0.625
I 0.642 0.750 0.625
I 0.750 0.142 0.875
I 0.750 0.358 0.375
I 0.858 0.750 0.125

***

Which of these has the highest total moment? TiHgI2

***

Which value of calculated total energy does entry 6 give? -0.0871 hartree per atom